{
  "formula": "LiYP4O12",
  "functional": "GGA-PBEsol",
  "state": "optimized geometry",
  "dft_energy_ev_per_atom": -7.763,
  "magnetic_moment_mub_per_fu": 0.00,
  "e_form_raw_ev_per_fu": -44.8,
  "space_group": "C2/c (15)",
  "lattice_angstrom": [[-3.0945, 4.7842, -4.1175], [-7.9138, -2.5589, -3.0267], [-6.8817, 4.0311, 3.8548]],
  "species": ["Li", "Li", "Y", "Y", "P", "P", "P", "P", "P", "P", "P", "P", "O", "O", "O", "O", "O", "O", "O", "O", "O", "O", "O", "O", "O", "O", "O", "O", "O", "O", "O", "O", "O", "O", "O", "O"],
  "fractional_positions": [[0.2070, 0.7500, 0.2500], [0.7930, 0.2500, 0.7500], [0.7067, 0.7500, 0.2500], [0.2933, 0.2500, 0.7500], [0.4977, 0.4032, 0.3062], [0.1875, 0.8426, 0.8845], [0.8125, 0.1574, 0.1155], [0.5023, 0.5968, 0.6938], [0.9146, 0.6574, 0.6155], [0.7929, 0.9032, 0.8062], [0.2071, 0.0968, 0.1938], [0.0854, 0.3426, 0.3845], [0.0620, 0.2980, 0.5735], [0.1700, 0.1591, 0.3504], [0.3508, 0.9150, 0.2232], [0.6794, 0.3409, 0.1496], [0.6492, 0.0850, 0.7768], [0.9380, 0.7020, 0.4265], [0.0277, 0.9234, 0.7657], [0.9335, 0.2020, 0.9265], [0.4890, 0.7298, 0.5229], [0.7417, 0.7702, 0.9771], [0.3285, 0.9593, 0.8153], [0.9723, 0.0766, 0.2343], [0.1031, 0.5407, 0.6847], [0.2832, 0.4234, 0.2657], [0.2583, 0.2298, 0.0229], [0.8300, 0.8409, 0.6496], [0.0665, 0.7980, 0.0735], [0.7168, 0.5766, 0.7343], [0.4890, 0.5850, 0.2768], [0.8969, 0.4593, 0.3153], [0.5110, 0.2702, 0.4771], [0.6715, 0.0407, 0.1847], [0.3206, 0.6591, 0.8504], [0.5110, 0.4150, 0.7232]]
}